1.
{
  "formula": "CsCeIn2F8",
  "functional": "GGA-PBE",
  "state": "optimized geometry",
  "cell": [[-4.078, -0.105, -1.158], [-0.288, -6.219, -1.816], [-2.642, -3.351, 7.591]],
  "species": ["Cs", "Ce", "In", "In", "F", "F", "F", "F", "F", "F", "F", "F"],
  "frac_coords": [[0.000, 0.000, 0.500], [0.000, 0.000, 0.000], [0.425, 0.455, 0.722], [0.575, 0.545, 0.278], [0.048, 0.737, 0.227], [0.550, 0.811, 0.051], [0.902, 0.216, 0.178], [0.952, 0.263, 0.773], [0.450, 0.189, 0.949], [0.098, 0.784, 0.822], [0.574, 0.683, 0.503], [0.426, 0.317, 0.497]],
  "raw_formation_energy_mev_per_atom": -2796
}



2.
{
  "formula": "Pm3Tm4In",
  "functional": "GGA-PBE",
  "state": "optimized geometry",
  "cell": [[-3.926, -1.950, -4.353], [4.960, -4.309, -2.544], [-3.552, -8.131, 6.846]],
  "species": ["Pm", "Pm", "Pm", "Pm", "Pm", "Pm", "Tm", "Tm", "Tm", "Tm", "Tm", "Tm", "Tm", "Tm", "In", "In"],
  "frac_coords": [[0.626, 0.628, 0.000], [0.974, 0.616, 0.238], [0.474, 0.384, 0.262], [0.126, 0.372, 0.500], [0.474, 0.384, 0.738], [0.974, 0.616, 0.762], [0.165, 0.881, 0.000], [0.648, 0.128, 0.000], [0.988, 0.122, 0.241], [0.488, 0.878, 0.259], [0.148, 0.872, 0.500], [0.665, 0.119, 0.500], [0.488, 0.878, 0.741], [0.988, 0.122, 0.759], [0.153, 0.359, 0.000], [0.653, 0.641, 0.500]],
  "de_polymorph_mev_per_atom": 0.0
}